An optimized crystal structure of CePr2WN4. Source: Alexandria via LeMat-Bulk, functional PBE-GGA.

Computed properties:
- Energy: -8.63 eV/atom
- Space-group type: No. 63

Structure (POSCAR):
```
CePr2WN4
1.0
3.455 0.000 0.000
-1.727 6.107 0.000
0.000 0.000 12.604
W N Pr Ce
2 8 4 2
Direct
0.173 0.347 0.250
0.827 0.653 0.750
0.000 0.000 0.500
0.272 0.544 0.134
0.431 0.862 0.750
0.569 0.138 0.250
0.728 0.456 0.866
0.728 0.456 0.634
0.000 0.000 0.000
0.272 0.544 0.366
0.369 0.738 0.962
0.631 0.262 0.038
0.369 0.738 0.538
0.631 0.262 0.462
0.087 0.173 0.750
0.913 0.827 0.250
```